Entry 1:
MgCo2N2: relaxed, PBE-GGA.

```
MgCo2N2
1.0
3.605 0.000 0.000
0.000 3.605 0.000
1.803 1.803 3.866
Mg Co N
1 2 2
Direct
0.000 0.000 0.000 Mg
0.338 0.338 0.324 Co
0.662 0.662 0.676 Co
0.750 0.250 0.500 N
0.250 0.750 0.500 N
```

Calculated values
* energy relative to the elements, uncorrected: 0.2464 eV per atom
* space-group type: No. 139
* final energy: -31.23 eV per formula unit

---

Entry 2:
AlPbS3: relaxed, PBE-GGA.

```
AlPbS3
1.0
-3.451 -3.026 -1.008
2.955 -2.476 -2.687
1.199 -2.607 3.721
Pb S Al
1 3 1
Direct
0.500 0.500 0.500 Pb
0.000 0.500 0.000 S
0.000 0.000 0.500 S
0.500 0.000 0.000 S
0.000 0.000 0.000 Al
```

Calculated values
* energy relative to the elements, uncorrected: -0.4268 eV per atom
* space-group type: No. 221
* final energy: -21.97 eV per formula unit

---

Entry 3:
Be3CdSe: relaxed, PBE-GGA.

```
Be3CdSe
1.0
4.494 0.000 0.000
0.000 4.494 0.000
0.000 0.000 4.494
Be Se Cd
3 1 1
Direct
0.000 0.500 0.000 Be
0.000 0.000 0.500 Be
0.500 0.000 0.000 Be
0.500 0.500 0.500 Se
0.000 0.000 0.000 Cd
```

Calculated values
* energy relative to the elements, uncorrected: 1.1143 eV per atom
* space-group type: No. 221
* final energy: -10.01 eV per formula unit